Tb10B2Br15 | GGA-PBE | relaxed

Lattice parameters (Å, degrees): 9.087 9.870 10.720 91.18 114.53 110.81
Space group P-1 (No. 2)
Unique sites:
Tb: 0.025 0.205 0.095
Tb: 0.085 0.541 0.323
Tb: 0.174 0.247 0.822
Tb: 0.221 0.574 0.048
Tb: 0.299 0.908 0.275
B: 0.033 0.680 0.123
Br: 0.092 0.037 0.340
Br: 0.138 0.383 0.584
Br: 0.210 0.738 0.820
Br: 0.269 0.090 0.057
Br: 0.336 0.442 0.297
Br: 0.385 0.799 0.528
Br: 0.444 0.157 0.774
Br: 0.500 0.500 0.000

ΔE_f (raw) = -41.13 eV/f.u.